# 1
First-principles (PBE) data for an optimized crystal structure of BaHo2P6, as listed in the Open Quantum Materials Database.

Summary:
Electronic total energy, eV per atom: -4.88

Unit cell a=6.5153 b=6.5153 c=15.9909 alpha=90.00 beta=90.00 gamma=120.00
Space group R-3m (No. 166, hexagonal axes)
Unique sites:
Ba: 0.0000 0.0000 0.0000
Ho: 0.0000 0.0000 0.2499
P: 0.0837 0.5418 0.2292

=====

# 2
First-principles (PBE) data for an optimized crystal structure of BaHo2P4, as listed in the Open Quantum Materials Database.

Summary:
Electronic total energy, eV per atom: -5.22

Unit cell a=5.8809 b=11.0894 c=22.5882 alpha=90.00 beta=90.00 gamma=90.00
Space group Fddd (No. 70, origin choice 2)
Unique sites:
Ba: 0.1250 0.1250 0.1250
Ho: 0.1250 0.1250 0.5048
P: 0.0462 0.3220 0.5771

=====

# 3
First-principles (PBE) data for an optimized crystal structure of BaHo2P2, as listed in the Open Quantum Materials Database.

Summary:
Electronic total energy, eV per atom: -5.05

Unit cell a=8.9480 b=8.9480 c=7.4676 alpha=90.00 beta=90.00 gamma=90.00
Space group P4_2mc (No. 105)
Unique sites:
Ba: 0.0000 0.0000 0.0000
Ba: 0.0000 0.5000 0.3462
Ho: 0.1932 0.5000 0.9286
Ho: 0.3218 0.5000 0.4605
P: 0.2592 0.2720 0.1897